(1)
Below is crystalline Re2NiSbIr at its relaxed geometry, with properties calculated at the PBEsol level.

Values from the calculation:
**ρ**: 14.151 g/cm3
**Total DFT energy (no corrections)**: -7.85 eV/atom
**ΔE_f (raw)**: 1.591 eV/atom
**DOS(E_F)**: 8.212 states/eV per cell

a = 4.385 Å, b = 4.385 Å, c = 4.547 Å
α = 90.00°, β = 90.00°, γ = 90.00°
Space group P4/mmm (No. 123)
Unique sites:
Re: 0.000 0.500 0.000 x2
Ni: 0.000 0.000 0.000 x1
Sb: 0.500 0.500 0.500 x1
Ir: 0.000 0.000 0.500 x1

(2)
Below is crystalline SiAs2P at its relaxed geometry, with properties calculated at the PBEsol level.

Values from the calculation:
**ρ**: 5.370 g/cm3
**Total DFT energy (no corrections)**: -4.96 eV/atom
**ΔE_f (raw)**: 0.480 eV/atom
**E above lowest polymorph**: 410 meV per atom
**DOS(E_F)**: 10.279 states/eV per cell

a = 6.369 Å, b = 6.369 Å, c = 6.369 Å
α = 90.00°, β = 90.00°, γ = 90.00°
Space group Fm-3m (No. 225)
Unique sites:
Si: 0.000 0.000 0.000 x4
As: 0.250 0.250 0.250 x8
P: 0.000 0.000 0.500 x4

(3)
Below is crystalline BeCu2Se at its relaxed geometry, with properties calculated at the PBEsol level.

Values from the calculation:
**ρ**: 6.608 g/cm3
**Total DFT energy (no corrections)**: -4.05 eV/atom
**ΔE_f (raw)**: 0.079 eV/atom
**E above lowest polymorph**: 0 meV per atom
**DOS(E_F)**: 1.146 states/eV per cell

a = 3.6754 Å, b = 3.6754 Å, c = 4.6188 Å
α = 90.00°, β = 90.00°, γ = 120.00°
Space group P-3m1 (No. 164)
Unique sites:
Be: 0.0000 0.0000 0.0000 x1
Cu: 0.3333 0.6667 0.8284 x2
Se: 0.0000 0.0000 0.5000 x1

(4)
Below is crystalline ReAg2SnO at its relaxed geometry, with properties calculated at the PBEsol level.

Values from the calculation:
**ρ**: 8.749 g/cm3
**Total DFT energy (no corrections)**: -4.56 eV/atom
**ΔE_f (raw)**: 1.335 eV/atom
**DOS(E_F)**: 2.287 states/eV per cell

a = 5.121 Å, b = 5.121 Å, c = 3.885 Å
α = 90.00°, β = 90.00°, γ = 90.00°
Space group P4/mmm (No. 123)
Unique sites:
Re: 0.000 0.000 0.000 x1
Ag: 0.000 0.500 0.500 x2
Sn: 0.500 0.500 0.500 x1
O: 0.500 0.500 0.000 x1